Record 1
BaSr5Tl4 after structural relaxation, computed with PBE.

## Properties
* DOS(E_F): 10.755 states/eV per cell
* calculated volume: 39.26 A^3/atom
* ΔE_f: -0.337 eV per atom
* calculated total energy: -2.317 eV/atom
* magnetization: 0.000 μB/atom

abc: 4.125 4.125 23.073
angles: 90.00 90.00 90.00
Sites, in units of the cell vectors:
Ba 0.000 0.000 0.000
Sr 0.500 0.500 0.148
Sr 0.500 0.500 0.322
Sr 0.500 0.500 0.500
Sr 0.500 0.500 0.678
Sr 0.500 0.500 0.852
Tl 0.000 0.000 0.231
Tl 0.000 0.000 0.411
Tl 0.000 0.000 0.589
Tl 0.000 0.000 0.769


Record 2
BaSr2Tl after structural relaxation, computed with PBE.

## Properties
* DOS(E_F): 11.319 states/eV per cell
* calculated volume: 46.81 A^3/atom
* ΔE_f: 0.055 eV per atom
* calculated total energy: -1.858 eV/atom
* magnetization: 0.000 μB/atom

abc: 5.331 5.331 13.704
angles: 78.78 78.78 90.00
Sites, in units of the cell vectors:
Sr 0.647 0.125 0.250
Sr 0.103 0.625 0.250
Sr 0.375 0.353 0.750
Sr 0.875 0.897 0.750
Tl 0.000 0.000 0.000
Tl 0.750 0.250 0.500
Ba 0.500 0.500 0.000
Ba 0.250 0.750 0.500


Record 3
BaSr2Tl after structural relaxation, computed with PBE.

## Properties
* DOS(E_F): 4.014 states/eV per cell
* calculated volume: 45.87 A^3/atom
* ΔE_f: -0.177 eV per atom
* calculated total energy: -2.090 eV/atom
* magnetization: 0.000 μB/atom

abc: 7.772 7.772 6.322
angles: 65.96 65.96 32.04
Sites, in units of the cell vectors:
Sr 0.003 0.003 0.997
Sr 0.800 0.800 0.699
Tl 0.494 0.494 0.507
Ba 0.203 0.203 0.296


Record 4
BaSr2Tl after structural relaxation, computed with PBE.

## Properties
* DOS(E_F): 4.162 states/eV per cell
* calculated volume: 46.47 A^3/atom
* ΔE_f: -0.209 eV per atom
* calculated total energy: -2.122 eV/atom
* magnetization: 0.000 μB/atom

abc: 7.748 7.748 7.748
angles: 147.82 130.78 60.03
Sites, in units of the cell vectors:
Sr 0.950 0.950 0.000
Sr 0.550 0.550 0.000
Tl 0.750 0.250 0.500
Ba 0.250 0.750 0.500


Record 5
BaSr2Tl after structural relaxation, computed with PBE.

## Properties
* DOS(E_F): 10.117 states/eV per cell
* calculated volume: 47.36 A^3/atom
* ΔE_f: -0.218 eV per atom
* calculated total energy: -2.131 eV/atom
* magnetization: 0.000 μB/atom

abc: 4.403 8.047 11.122
angles: 90.00 90.00 105.94
Sites, in units of the cell vectors:
Ba 0.441 0.882 0.250
Ba 0.559 0.118 0.750
Sr 0.147 0.294 0.440
Sr 0.853 0.706 0.560
Sr 0.853 0.706 0.940
Sr 0.147 0.294 0.060
Tl 0.759 0.517 0.250
Tl 0.241 0.483 0.750


Record 6
Ba2SrTl2 after structural relaxation, computed with PBE.

## Properties
* DOS(E_F): 2.071 states/eV per cell
* calculated volume: 44.53 A^3/atom
* ΔE_f: -0.176 eV per atom
* calculated total energy: -2.228 eV/atom
* magnetization: 0.000 μB/atom

abc: 5.394 5.394 8.551
angles: 71.61 71.61 90.00
Sites, in units of the cell vectors:
Sr 0.000 0.000 0.000
Tl 0.406 0.406 0.189
Tl 0.594 0.594 0.811
Ba 0.750 0.250 0.500
Ba 0.250 0.750 0.500


Record 7
BaSr2Tl after structural relaxation, computed with PBE.

## Properties
* DOS(E_F): 5.383 states/eV per cell
* calculated volume: 45.98 A^3/atom
* ΔE_f: -0.033 eV per atom
* calculated total energy: -1.946 eV/atom
* magnetization: 0.000 μB/atom

abc: 7.653 7.653 4.079
angles: 75.92 75.92 118.79
Sites, in units of the cell vectors:
Ba 0.000 0.500 0.500
Sr 0.000 0.000 0.000
Sr 0.500 0.500 0.000
Tl 0.500 0.000 0.500


Record 8
BaSrTl6 after structural relaxation, computed with PBE.

## Properties
* DOS(E_F): 4.760 states/eV per cell
* calculated volume: 33.09 A^3/atom
* ΔE_f: -0.270 eV per atom
* calculated total energy: -2.496 eV/atom
* magnetization: 0.000 μB/atom

abc: 5.439 6.835 7.121
angles: 90.00 90.00 90.00
Sites, in units of the cell vectors:
Ba 0.000 0.624 0.000
Sr 0.500 0.374 0.500
Tl 0.500 0.855 0.251
Tl 0.000 0.148 0.741
Tl 0.000 0.148 0.259
Tl 0.500 0.855 0.749
Tl 0.000 0.726 0.500
Tl 0.500 0.268 0.000


Record 9
BaSr2Tl6 after structural relaxation, computed with PBE.

## Properties
* DOS(E_F): 5.861 states/eV per cell
* calculated volume: 33.86 A^3/atom
* ΔE_f: -0.300 eV per atom
* calculated total energy: -2.465 eV/atom
* magnetization: 0.000 μB/atom

abc: 3.957 9.430 9.430
angles: 120.00 90.00 90.00
Sites, in units of the cell vectors:
Ba 0.000 0.000 0.000
Sr 0.000 0.333 0.667
Sr 0.000 0.667 0.333
Tl 0.500 0.336 0.336
Tl 0.500 0.664 0.664
Tl 0.500 0.000 0.664
Tl 0.500 0.664 0.000
Tl 0.500 0.336 0.000
Tl 0.500 0.000 0.336


Record 10
Ba5SrTl6 after structural relaxation, computed with PBE.

## Properties
* DOS(E_F): 9.055 states/eV per cell
* calculated volume: 38.91 A^3/atom
* ΔE_f: -0.406 eV per atom
* calculated total energy: -2.531 eV/atom
* magnetization: 0.000 μB/atom

abc: 6.012 8.541 9.566
angles: 90.00 71.92 89.99
Sites, in units of the cell vectors:
Sr 0.000 0.000 0.000
Tl 0.838 0.758 0.323
Tl 0.838 0.242 0.323
Tl 0.500 0.235 0.000
Tl 0.500 0.765 0.000
Tl 0.162 0.758 0.677
Tl 0.162 0.242 0.677
Ba 0.669 0.500 0.662
Ba 0.333 0.000 0.334
Ba 0.000 0.500 0.000
Ba 0.667 0.000 0.666
Ba 0.331 0.500 0.338


Record 11
Ba6SrTl2 after structural relaxation, computed with PBE.

## Properties
* DOS(E_F): 10.510 states/eV per cell
* calculated volume: 50.36 A^3/atom
* ΔE_f: -0.173 eV per atom
* calculated total energy: -2.167 eV/atom
* magnetization: 0.000 μB/atom

abc: 4.348 7.957 14.043
angles: 77.08 81.09 74.14
Sites, in units of the cell vectors:
Ba 0.698 0.479 0.126
Ba 0.302 0.521 0.874
Ba 0.308 0.782 0.603
Ba 0.967 0.748 0.319
Ba 0.033 0.252 0.681
Ba 0.692 0.218 0.397
Sr 0.000 0.000 0.000
Tl 0.351 0.102 0.197
Tl 0.649 0.898 0.803


Record 12
BaSr2Tl2 after structural relaxation, computed with PBE.

## Properties
* DOS(E_F): 4.601 states/eV per cell
* calculated volume: 43.01 A^3/atom
* ΔE_f: -0.248 eV per atom
* calculated total energy: -2.252 eV/atom
* magnetization: 0.000 μB/atom

abc: 5.464 5.464 8.175
angles: 70.48 70.48 90.00
Sites, in units of the cell vectors:
Sr 0.750 0.250 0.500
Sr 0.250 0.750 0.500
Tl 0.399 0.399 0.203
Tl 0.601 0.601 0.797
Ba 0.000 0.000 0.000


Record 13
Ba2SrTl2 after structural relaxation, computed with PBE.

## Properties
* DOS(E_F): 3.612 states/eV per cell
* calculated volume: 42.97 A^3/atom
* ΔE_f: -0.331 eV per atom
* calculated total energy: -2.383 eV/atom
* magnetization: 0.000 μB/atom

abc: 4.166 4.256 12.304
angles: 80.04 90.00 90.00
Sites, in units of the cell vectors:
Ba 0.000 0.166 0.667
Ba 0.000 0.834 0.333
Sr 0.000 0.000 0.000
Tl 0.500 0.421 0.157
Tl 0.500 0.579 0.843


Record 14
BaSr2Tl after structural relaxation, computed with PBE.

## Properties
* DOS(E_F): 5.055 states/eV per cell
* calculated volume: 48.77 A^3/atom
* ΔE_f: -0.134 eV per atom
* calculated total energy: -2.047 eV/atom
* magnetization: 0.000 μB/atom

abc: 4.303 4.303 12.418
angles: 80.02 80.02 60.00
Sites, in units of the cell vectors:
Ba 0.501 0.501 0.498
Sr 0.066 0.066 0.803
Sr 0.267 0.267 0.199
Tl 0.666 0.666 0.001


Record 15
BaSr2Tl after structural relaxation, computed with PBE.

## Properties
* DOS(E_F): 2.475 states/eV per cell
* calculated volume: 47.11 A^3/atom
* ΔE_f: -0.223 eV per atom
* calculated total energy: -2.136 eV/atom
* magnetization: 0.000 μB/atom

abc: 4.249 4.249 10.436
angles: 90.00 90.00 90.00
Sites, in units of the cell vectors:
Sr 0.000 0.000 0.014
Sr 0.500 0.500 0.311
Tl 0.000 0.000 0.484
Ba 0.500 0.500 0.691


Record 16
Ba2Sr2Tl after structural relaxation, computed with PBE.

## Properties
* DOS(E_F): 14.478 states/eV per cell
* calculated volume: 54.58 A^3/atom
* ΔE_f: 0.052 eV per atom
* calculated total energy: -1.863 eV/atom
* magnetization: 0.002 μB/atom

abc: 9.082 9.082 6.617
angles: 90.00 90.00 90.00
Sites, in units of the cell vectors:
Sr 0.168 0.668 0.500
Sr 0.668 0.832 0.500
Sr 0.832 0.332 0.500
Sr 0.332 0.168 0.500
Tl 0.000 0.000 0.000
Tl 0.500 0.500 0.000
Ba 0.348 0.848 0.000
Ba 0.848 0.652 0.000
Ba 0.652 0.152 0.000
Ba 0.152 0.348 0.000


Record 17
BaSr3Tl after structural relaxation, computed with PBE.

## Properties
* DOS(E_F): 15.365 states/eV per cell
* calculated volume: 53.07 A^3/atom
* ΔE_f: -0.107 eV per atom
* calculated total energy: -1.974 eV/atom
* magnetization: 0.000 μB/atom

abc: 8.823 8.823 8.902
angles: 105.40 115.88 106.96
Sites, in units of the cell vectors:
Ba 0.703 0.060 0.764
Ba 0.297 0.940 0.236
Sr 0.854 0.052 0.295
Sr 0.243 0.441 0.295
Sr 0.757 0.559 0.705
Sr 0.704 0.448 0.152
Sr 0.146 0.948 0.705
Sr 0.296 0.552 0.848
Tl 0.631 0.749 0.380
Tl 0.369 0.251 0.620


Record 18
Ba4SrTl4 after structural relaxation, computed with PBE.

## Properties
* DOS(E_F): 29.017 states/eV per cell
* calculated volume: 46.64 A^3/atom
* ΔE_f: -0.230 eV per atom
* calculated total energy: -2.323 eV/atom
* magnetization: 0.000 μB/atom

abc: 7.295 10.728 10.728
angles: 90.00 90.00 90.00
Sites, in units of the cell vectors:
Ba 0.382 0.305 0.912
Ba 0.882 0.588 0.805
Ba 0.382 0.695 0.088
Ba 0.118 0.195 0.588
Ba 0.618 0.912 0.695
Ba 0.118 0.805 0.412
Ba 0.882 0.412 0.195
Ba 0.618 0.088 0.305
Sr 0.000 0.000 0.000
Sr 0.500 0.500 0.500
Tl 0.629 0.767 0.371
Tl 0.629 0.233 0.629
Tl 0.129 0.871 0.733
Tl 0.871 0.267 0.871
Tl 0.871 0.733 0.129
Tl 0.371 0.371 0.233
Tl 0.371 0.629 0.767
Tl 0.129 0.129 0.267


Record 19
Ba6Sr12Tl after structural relaxation, computed with PBE.

## Properties
* DOS(E_F): 22.122 states/eV per cell
* calculated volume: 55.74 A^3/atom
* ΔE_f: 0.019 eV per atom
* calculated total energy: -1.775 eV/atom
* magnetization: 0.000 μB/atom

abc: 10.193 10.193 10.193
angles: 89.67 89.67 89.67
Sites, in units of the cell vectors:
Ba 0.741 0.890 0.250
Ba 0.750 0.259 0.110
Ba 0.110 0.750 0.259
Ba 0.259 0.110 0.750
Ba 0.250 0.741 0.890
Ba 0.890 0.250 0.741
Sr 0.801 0.525 0.441
Sr 0.441 0.801 0.525
Sr 0.525 0.441 0.801
Sr 0.199 0.475 0.559
Sr 0.559 0.199 0.475
Sr 0.475 0.559 0.199
Sr 0.044 0.149 0.370
Sr 0.851 0.630 0.956
Sr 0.630 0.956 0.851
Sr 0.956 0.851 0.630
Sr 0.149 0.370 0.044
Sr 0.370 0.044 0.149
Tl 0.000 0.000 0.000


Record 20
Ba2Sr2Tl after structural relaxation, computed with PBE.

## Properties
* DOS(E_F): 10.988 states/eV per cell
* calculated volume: 50.95 A^3/atom
* ΔE_f: -0.150 eV per atom
* calculated total energy: -2.065 eV/atom
* magnetization: 0.000 μB/atom

abc: 7.638 7.638 10.379
angles: 102.98 102.98 112.92
Sites, in units of the cell vectors:
Ba 0.750 0.750 0.500
Ba 0.249 0.249 0.997
Ba 0.751 0.751 0.003
Ba 0.250 0.250 0.500
Sr 0.143 0.641 0.284
Sr 0.857 0.359 0.716
Sr 0.641 0.143 0.284
Sr 0.359 0.857 0.716
Tl 0.250 0.750 0.000
Tl 0.750 0.250 0.000


Record 21
BaSrTl14 after structural relaxation, computed with PBE.

## Properties
* DOS(E_F): 7.841 states/eV per cell
* calculated volume: 32.51 A^3/atom
* ΔE_f: -0.101 eV per atom
* calculated total energy: -2.397 eV/atom
* magnetization: 0.000 μB/atom

abc: 7.000 7.000 11.121
angles: 90.00 90.00 107.34
Sites, in units of the cell vectors:
Ba 0.045 0.955 0.500
Sr 0.626 0.374 0.500
Tl 0.091 0.909 0.000
Tl 0.633 0.367 0.000
Tl 0.138 0.472 0.500
Tl 0.146 0.421 0.000
Tl 0.528 0.862 0.500
Tl 0.579 0.854 0.000
Tl 0.380 0.068 0.760
Tl 0.380 0.068 0.240
Tl 0.932 0.620 0.760
Tl 0.932 0.620 0.240
Tl 0.421 0.579 0.749
Tl 0.421 0.579 0.251
Tl 0.874 0.126 0.772
Tl 0.874 0.126 0.228


Record 22
BaSr2Tl2 after structural relaxation, computed with PBE.

## Properties
* DOS(E_F): 4.609 states/eV per cell
* calculated volume: 46.02 A^3/atom
* ΔE_f: -0.134 eV per atom
* calculated total energy: -2.138 eV/atom
* magnetization: 0.000 μB/atom

abc: 6.073 6.073 7.574
angles: 66.36 66.36 90.00
Sites, in units of the cell vectors:
Sr 0.347 0.347 0.305
Sr 0.653 0.653 0.695
Tl 0.750 0.250 0.500
Tl 0.250 0.750 0.500
Ba 0.000 0.000 0.000


Record 23
BaSrTlZn after structural relaxation, computed with PBE.

## Properties
* DOS(E_F): 4.998 states/eV per cell
* calculated volume: 34.87 A^3/atom
* ΔE_f: -0.285 eV per atom
* calculated total energy: -2.097 eV/atom
* magnetization: 0.000 μB/atom

abc: 5.821 5.821 5.821
angles: 60.00 60.00 60.00
Sites, in units of the cell vectors:
Sr 0.250 0.250 0.250
Tl 0.500 0.500 0.500
Ba 0.750 0.750 0.750
Zn 0.000 0.000 0.000


Record 24
Ba3Sr3Tl2Zn after structural relaxation, computed with PBE.

## Properties
* DOS(E_F): 12.929 states/eV per cell
* calculated volume: 42.64 A^3/atom
* ΔE_f: -0.195 eV per atom
* calculated total energy: -2.064 eV/atom
* magnetization: 0.000 μB/atom

abc: 4.563 9.855 9.855
angles: 120.00 90.00 90.00
Sites, in units of the cell vectors:
Ba 0.500 0.747 0.000
Ba 0.500 0.000 0.747
Ba 0.500 0.253 0.253
Sr 0.000 0.590 0.590
Sr 0.000 0.000 0.410
Sr 0.000 0.410 0.000
Tl 0.500 0.667 0.333
Tl 0.500 0.333 0.667
Zn 0.000 0.000 0.000